(1)
DFT (PBE) results for a relaxed structure of MgPaCd.

Computed properties:
The value obtained for the energy above the most stable polymorph in this dataset is 66 meV/atom. The symmetry is I4mm, No. 107.

Lattice parameters (Å, degrees): 7.7987 7.7987 7.7987 157.64 157.64 31.84
Closest atoms and distances in Å follow each position.
Positions (direct):
Mg 0.0000 0.0000 0.0000  4 Mg 3.02, 4 Cd 3.13, 4 Pa 3.38
Pa 0.6746 0.6746 0.0000  4 Pa 3.02, 4 Cd 3.36, 4 Mg 3.38
Cd 0.3474 0.3474 0.0000  4 Cd 3.02, 4 Mg 3.13, 4 Pa 3.36

(2)
DFT (PBE) results for a relaxed structure of CaZrAs.

Computed properties:
The value obtained for the energy above the most stable polymorph in this dataset is 264 meV/atom. The symmetry is Pm, No. 6.

Lattice parameters (Å, degrees): 6.1551 3.8341 6.6965 90.00 101.77 90.00
Closest atoms and distances in Å follow each position.
Positions (direct):
Ca 0.0000 0.0000 0.0000  4 As 2.92-3.02, 1 Zr 3.20
Ca 0.4686 0.5000 0.8621  2 As 3.08-3.15
Zr 0.1235 0.0000 0.4879  4 As 2.80, 1 Zr 3.05
Zr 0.6185 0.0000 0.4236  4 As 2.76-2.83, 1 Zr 3.05
As 0.3077 0.5000 0.2678  4 Zr 2.76-2.80, 3 Ca 3.02-3.08
As 0.8921 0.5000 0.6657  4 Zr 2.80-2.83, 2 Ca 2.92

(3)
DFT (PBE) results for a relaxed structure of YInFe.

Computed properties:
The symmetry is I4mm, No. 107.

Lattice parameters (Å, degrees): 5.8773 5.8773 5.8773 145.91 145.91 48.98
Closest atoms and distances in Å follow each position.
Positions (direct):
Y 0.0000 0.0000 0.0000  4 Fe 3.01, 5 In 3.13-3.29
In 0.7070 0.7070 0.0000  4 Fe 2.79
Fe 0.3342 0.3342 0.0000  4 In 2.79, 4 Y 3.01

So what do the calculations give for calculated formation energy? Going down the list: 0.10; -0.66; -0.02 eV/atom.